[1]
{"formula": "La2HoP2Br2", "functional": "PBE", "state": "relaxed", "lattice": [[5.264, 0.000, 0.000], [0.000, 5.264, 0.000], [0.000, 0.000, 15.555]], "species": ["La", "La", "La", "La", "Ho", "Ho", "P", "P", "P", "P", "Br", "Br", "Br", "Br"], "fractional_positions": [[0.000, 0.000, 0.105], [0.000, 0.000, 0.895], [0.500, 0.500, 0.395], [0.500, 0.500, 0.605], [0.000, 0.000, 0.500], [0.500, 0.500, 0.000], [0.000, 0.500, 0.000], [0.000, 0.500, 0.500], [0.500, 0.000, 0.000], [0.500, 0.000, 0.500], [0.000, 0.000, 0.308], [0.000, 0.000, 0.692], [0.500, 0.500, 0.192], [0.500, 0.500, 0.808]], "final_energy_ev_per_cell": -77.34, "formation_energy_uncorrected_ev_per_atom": -1.4391}

***

[2]
{"formula": "LaHoRhBr", "functional": "PBE", "state": "relaxed", "lattice": [[4.063, 0.000, 0.000], [-2.031, 3.518, 0.000], [0.000, 0.000, 23.617]], "species": ["La", "La", "La", "Ho", "Ho", "Ho", "Rh", "Rh", "Rh", "Br", "Br", "Br"], "fractional_positions": [[0.000, 0.000, 0.000], [0.333, 0.667, 0.667], [0.667, 0.333, 0.333], [0.000, 0.000, 0.795], [0.333, 0.667, 0.462], [0.667, 0.333, 0.128], [0.000, 0.000, 0.400], [0.333, 0.667, 0.067], [0.667, 0.333, 0.734], [0.000, 0.000, 0.225], [0.333, 0.667, 0.892], [0.667, 0.333, 0.559]], "final_energy_ev_per_cell": -69.02, "formation_energy_uncorrected_ev_per_atom": -1.1194}

***

[3]
{"formula": "LiHoBr2", "functional": "PBE", "state": "relaxed", "lattice": [[3.869, 0.000, 0.000], [-1.934, 3.351, 0.000], [0.000, 0.000, 25.801]], "species": ["Li", "Li", "Li", "Ho", "Ho", "Ho", "Br", "Br", "Br", "Br", "Br", "Br"], "fractional_positions": [[0.000, 0.000, 0.000], [0.333, 0.667, 0.667], [0.667, 0.333, 0.333], [0.000, 0.000, 0.500], [0.333, 0.667, 0.167], [0.667, 0.333, 0.833], [0.000, 0.000, 0.393], [0.000, 0.000, 0.607], [0.333, 0.667, 0.059], [0.333, 0.667, 0.274], [0.667, 0.333, 0.726], [0.667, 0.333, 0.941]], "final_energy_ev_per_cell": -43.75, "formation_energy_uncorrected_ev_per_atom": -1.1869}

***

[4]
{"formula": "LiHoMgBr6", "functional": "PBE", "state": "relaxed", "lattice": [[6.921, 0.000, 0.000], [-3.460, 5.993, 0.000], [0.000, 0.000, 12.739]], "species": ["Li", "Li", "Ho", "Ho", "Mg", "Mg", "Br", "Br", "Br", "Br", "Br", "Br", "Br", "Br", "Br", "Br", "Br", "Br"], "fractional_positions": [[0.000, 0.000, 0.000], [0.000, 0.000, 0.500], [0.333, 0.667, 0.250], [0.667, 0.333, 0.750], [0.333, 0.667, 0.750], [0.667, 0.333, 0.250], [0.010, 0.350, 0.628], [0.010, 0.661, 0.872], [0.339, 0.350, 0.872], [0.339, 0.990, 0.628], [0.350, 0.010, 0.128], [0.350, 0.339, 0.372], [0.650, 0.661, 0.628], [0.650, 0.990, 0.872], [0.661, 0.010, 0.372], [0.661, 0.650, 0.128], [0.990, 0.339, 0.128], [0.990, 0.650, 0.372]], "final_energy_ev_per_cell": -65.59, "formation_energy_uncorrected_ev_per_atom": -1.6302}

***

[5]
{"formula": "Na2LiHoBr6", "functional": "PBE", "state": "relaxed", "lattice": [[3.654, 2.109, 6.484], [-3.654, 2.109, 6.484], [0.000, -4.219, 6.484]], "species": ["Na", "Na", "Li", "Ho", "Br", "Br", "Br", "Br", "Br", "Br"], "fractional_positions": [[0.000, 0.000, 0.000], [0.494, 0.494, 0.494], [0.206, 0.206, 0.206], [0.694, 0.694, 0.694], [0.066, 0.432, 0.816], [0.315, 0.924, 0.574], [0.432, 0.816, 0.066], [0.574, 0.315, 0.924], [0.816, 0.066, 0.432], [0.924, 0.574, 0.315]], "final_energy_ev_per_cell": -35.84, "formation_energy_uncorrected_ev_per_atom": -1.6671}

***

[6]
{"formula": "LiHoPbBr6", "functional": "PBE", "state": "relaxed", "lattice": [[7.118, 0.000, 0.000], [-3.559, 6.164, 0.000], [0.000, 0.000, 13.230]], "species": ["Li", "Li", "Ho", "Ho", "Pb", "Pb", "Br", "Br", "Br", "Br", "Br", "Br", "Br", "Br", "Br", "Br", "Br", "Br"], "fractional_positions": [[0.333, 0.667, 0.250], [0.667, 0.333, 0.750], [0.333, 0.667, 0.750], [0.667, 0.333, 0.250], [0.000, 0.000, 0.000], [0.000, 0.000, 0.500], [0.003, 0.358, 0.131], [0.003, 0.646, 0.369], [0.354, 0.358, 0.369], [0.354, 0.997, 0.131], [0.358, 0.003, 0.631], [0.358, 0.354, 0.869], [0.642, 0.646, 0.131], [0.642, 0.997, 0.369], [0.646, 0.003, 0.869], [0.646, 0.642, 0.631], [0.997, 0.354, 0.631], [0.997, 0.642, 0.869]], "final_energy_ev_per_cell": -66.76, "formation_energy_uncorrected_ev_per_atom": -1.4602}

***

Copy entry 2 word for word.
{"formula": "LaHoRhBr", "functional": "PBE", "state": "relaxed", "lattice": [[4.063, 0.000, 0.000], [-2.031, 3.518, 0.000], [0.000, 0.000, 23.617]], "species": ["La", "La", "La", "Ho", "Ho", "Ho", "Rh", "Rh", "Rh", "Br", "Br", "Br"], "fractional_positions": [[0.000, 0.000, 0.000], [0.333, 0.667, 0.667], [0.667, 0.333, 0.333], [0.000, 0.000, 0.795], [0.333, 0.667, 0.462], [0.667, 0.333, 0.128], [0.000, 0.000, 0.400], [0.333, 0.667, 0.067], [0.667, 0.333, 0.734], [0.000, 0.000, 0.225], [0.333, 0.667, 0.892], [0.667, 0.333, 0.559]], "final_energy_ev_per_cell": -69.02, "formation_energy_uncorrected_ev_per_atom": -1.1194}

***

What did the fifth record say?
{"formula": "Na2LiHoBr6", "functional": "PBE", "state": "relaxed", "lattice": [[3.654, 2.109, 6.484], [-3.654, 2.109, 6.484], [0.000, -4.219, 6.484]], "species": ["Na", "Na", "Li", "Ho", "Br", "Br", "Br", "Br", "Br", "Br"], "fractional_positions": [[0.000, 0.000, 0.000], [0.494, 0.494, 0.494], [0.206, 0.206, 0.206], [0.694, 0.694, 0.694], [0.066, 0.432, 0.816], [0.315, 0.924, 0.574], [0.432, 0.816, 0.066], [0.574, 0.315, 0.924], [0.816, 0.066, 0.432], [0.924, 0.574, 0.315]], "final_energy_ev_per_cell": -35.84, "formation_energy_uncorrected_ev_per_atom": -1.6671}

***

Which formula does entry 3 have?
LiHoBr2